This record from OQMD describes an optimized crystal structure of Y2Ta4Ge3N3. The functional is PBE-GGA.

abc: 5.6649 5.6649 13.6658
angles: 102.90 102.90 60.29
Closest atoms and distances in Å follow each position.
Fractional positions:
1 Y 0.4587 0.6196 0.8843  3 N 2.38-2.45
2 Ta 0.8036 0.9697 0.9203  3 N 2.15-2.21
3 N 0.6611 0.1783 0.5003  4 Ta 2.17-2.21, 2 Y 2.38
4 N 0.0000 0.5000 0.5000  4 Ta 2.15-2.16
5 Ge 0.9346 0.0654 0.7500  4 Ta 2.74-2.83, 4 Ge 2.83-2.85
6 Y 0.6196 0.4587 0.3843  3 N 2.38-2.45
7 Ge 0.8907 0.5860 0.7503  4 Ta 2.75-2.82, 4 Ge 2.83-2.85
8 Ge 0.4140 0.1093 0.7497  4 Ta 2.75-2.82, 4 Ge 2.83-2.85
9 Ge 0.5860 0.8907 0.2503  4 Ta 2.75-2.82, 4 Ge 2.83-2.85
10 N 0.1783 0.6611 0.0003  4 Ta 2.17-2.21, 2 Y 2.38
11 N 0.3389 0.8217 0.4997  4 Ta 2.17-2.21, 2 Y 2.38
12 Ta 0.9697 0.8036 0.4203  3 N 2.15-2.21
13 Ge 0.0654 0.9346 0.2500  4 Ta 2.74-2.83, 4 Ge 2.83-2.85
14 Y 0.5413 0.3804 0.1157  3 N 2.38-2.45
15 Ta 0.1964 0.0303 0.0797  3 N 2.15-2.21
16 Ta 0.6976 0.8606 0.5795  3 N 2.16-2.20
17 Ta 0.3024 0.1394 0.4205  3 N 2.16-2.20
18 Ta 0.1394 0.3024 0.9205  3 N 2.16-2.20
19 Ge 0.1093 0.4140 0.2497  4 Ta 2.75-2.82, 4 Ge 2.83-2.85
20 Ta 0.0303 0.1964 0.5797  3 N 2.15-2.21
21 Y 0.3804 0.5413 0.6157  3 N 2.38-2.45
22 Ta 0.8606 0.6976 0.0795  3 N 2.16-2.20
23 N 0.8217 0.3389 0.9997  4 Ta 2.17-2.21, 2 Y 2.38
24 N 0.5000 0.0000 0.0000  4 Ta 2.15-2.16

Summary:
E_tot: -9.050 eV per atom
ρ: 10.483 g cm⁻³

---

This record from OQMD describes an optimized crystal structure of SrPmPd. The functional is PBE-GGA.

abc: 5.1167 5.1167 5.1167
angles: 60.00 60.00 60.00
Closest atoms and distances in Å follow each position.
Fractional positions:
1 Pd 0.0000 0.0000 0.0000  4 Sr 3.13, 4 Pm 3.13
2 Pm 0.2500 0.2500 0.2500  4 Pd 3.13
3 Sr 0.7500 0.7500 0.7500  4 Pd 3.13

Summary:
E_tot: -4.201 eV per atom
ρ: 5.944 g cm⁻³

---

This record from OQMD describes an optimized crystal structure of GaTcB4. The functional is PBE-GGA.

abc: 4.5542 4.5542 4.5542
angles: 141.73 109.27 83.39
Closest atoms and distances in Å follow each position.
Fractional positions:
1 B 0.5912 0.2539 0.3373  3 B 1.72-1.75
2 B 0.9166 0.2539 0.6627  3 B 1.72-1.75
3 Tc 0.5000 0.5000 0.0000  12 B 2.44
4 Ga 0.0000 0.0000 0.0000  12 B 2.40-2.48
5 B 0.0834 0.7461 0.3373  3 B 1.72-1.75
6 B 0.4088 0.7461 0.6627  3 B 1.72-1.75

Summary:
E_tot: -6.543 eV per atom
ρ: 6.545 g cm⁻³

---

This record from OQMD describes an optimized crystal structure of TbNdSi2Pd. The functional is PBE-GGA.

abc: 5.7543 5.7543 10.2737
angles: 115.41 115.41 44.01
Closest atoms and distances in Å follow each position.
Fractional positions:
1 Tb 0.0060 0.0060 0.8270  6 Si 2.99-3.11, 4 Pd 3.10-3.16
2 Si 0.6311 0.6311 0.0614  1 Si 2.48, 3 Pd 2.53-2.67
3 Pd 0.7287 0.7287 0.8644  4 Si 2.53-2.67
4 Tb 0.9940 0.9940 0.1730  6 Si 2.99-3.11, 4 Pd 3.10-3.16
5 Si 0.4889 0.4889 0.6183  1 Si 2.55, 1 Pd 2.64
6 Nd 0.8108 0.8108 0.3930  6 Si 3.04-3.15, 2 Pd 3.29
7 Nd 0.1892 0.1892 0.6070  6 Si 3.04-3.15, 2 Pd 3.29
8 Pd 0.2713 0.2713 0.1356  4 Si 2.53-2.67
9 Si 0.5111 0.5111 0.3817  1 Si 2.55, 1 Pd 2.64
10 Si 0.3689 0.3689 0.9386  1 Si 2.48, 3 Pd 2.53-2.67

Summary:
E_tot: -5.966 eV per atom
ρ: 7.383 g cm⁻³

---

This record from OQMD describes an optimized crystal structure of NbFeCoSi. The functional is PBE-GGA.

abc: 4.1924 4.1924 4.1924
angles: 60.00 60.00 60.00
Closest atoms and distances in Å follow each position.
Fractional positions:
1 Si 0.0000 0.0000 0.0000  4 Nb 2.57, 4 Fe 2.57
2 Co 0.5000 0.5000 0.5000  4 Fe 2.57, 4 Nb 2.57
3 Nb 0.2500 0.2500 0.2500  4 Co 2.57, 4 Si 2.57
4 Fe 0.7500 0.7500 0.7500  4 Co 2.57, 4 Si 2.57

Summary:
E_tot: -7.854 eV per atom
ρ: 7.514 g cm⁻³

---

This record from OQMD describes an optimized crystal structure of NbSiNi. The functional is PBE-GGA.

abc: 4.1538 4.1538 4.1538
angles: 60.00 60.00 60.00
Closest atoms and distances in Å follow each position.
Fractional positions:
1 Si 0.7500 0.7500 0.7500  4 Nb 2.54
2 Nb 0.0000 0.0000 0.0000  4 Ni 2.54, 4 Si 2.54
3 Ni 0.2500 0.2500 0.2500  4 Nb 2.54

Summary:
E_tot: -6.841 eV per atom
ρ: 5.888 g cm⁻³

---

This record from OQMD describes an optimized crystal structure of KAgWSe2S. The functional is PBE-GGA.

abc: 7.6331 7.6331 9.9281
angles: 90.00 90.00 149.97
Closest atoms and distances in Å follow each position.
Fractional positions:
1 Se 0.1195 0.8805 0.0209  1 Ag 2.53, 2 W 2.66
2 S 0.5615 0.4385 0.7500  2 Ag 2.52, 2 W 2.64
3 Ag 0.0441 0.9559 0.2500  2 S 2.52, 2 Se 2.53
4 S 0.4385 0.5615 0.2500  2 Ag 2.52, 2 W 2.64
5 K 0.7498 0.2502 0.2500  6 Se 3.31-3.57, 2 S 3.41, 2 Ag 3.62
6 Se 0.8805 0.1195 0.9791  1 Ag 2.53, 2 W 2.66
7 Ag 0.9559 0.0441 0.7500  2 S 2.52, 2 Se 2.53
8 Se 0.8805 0.1195 0.5209  1 Ag 2.53, 2 W 2.66
9 W 0.5000 0.5000 0.5000  2 S 2.64, 4 Se 2.66
10 K 0.2502 0.7498 0.7500  6 Se 3.31-3.57, 2 S 3.41, 2 Ag 3.62
11 Se 0.1195 0.8805 0.4791  1 Ag 2.53, 2 W 2.66
12 W 0.5000 0.5000 0.0000  2 S 2.64, 4 Se 2.66

Summary:
E_tot: -4.948 eV per atom
ρ: 5.975 g cm⁻³

---

This record from OQMD describes an optimized crystal structure of NaLaSm. The functional is PBE-GGA.

abc: 5.4620 5.4620 5.4620
angles: 60.00 60.00 60.00
Closest atoms and distances in Å follow each position.
Fractional positions:
1 La 0.2500 0.2500 0.2500  4 Na 3.34
2 Na 0.0000 0.0000 0.0000  4 Sm 3.34, 4 La 3.34
3 Sm 0.7500 0.7500 0.7500  4 Na 3.34

Summary:
E_tot: -2.933 eV per atom
ρ: 4.500 g cm⁻³

---

This record from OQMD describes an optimized crystal structure of HoTm2WC3. The functional is PBE-GGA.

abc: 6.3478 6.3478 5.8590
angles: 112.32 112.32 30.12
Closest atoms and distances in Å follow each position.
Fractional positions:
1 W 0.3564 0.3564 0.0034  5 C 2.04-2.23
2 C 0.7540 0.7540 0.7535  2 W 2.23, 3 Tm 2.35-2.44, 1 Ho 2.49
3 C 0.2714 0.2714 0.2412  1 W 2.04
4 C 0.9752 0.9752 0.0239  2 W 2.17
5 Ho 0.6201 0.6201 0.9809  5 C 2.49-2.51
6 Tm 0.8815 0.8815 0.5225  3 C 2.35-2.44
7 Tm 0.1414 0.1414 0.4745  4 C 2.35-2.63

Summary:
E_tot: -7.994 eV per atom
ρ: 11.018 g cm⁻³

---

This record from OQMD describes an optimized crystal structure of GaAgTeSe. The functional is PBE-GGA.

abc: 7.3118 7.3118 7.3118
angles: 129.88 128.73 74.53
Closest atoms and distances in Å follow each position.
Fractional positions:
1 Ga 0.6327 0.8827 0.7500  2 Se 2.48, 2 Te 2.65
2 Se 0.5332 0.2500 0.7832  2 Ga 2.48, 2 Ag 2.72
3 Ag 0.1357 0.3857 0.7500  2 Se 2.72, 2 Te 2.77
4 Ga 0.8673 0.6173 0.2500  2 Se 2.48, 2 Te 2.65
5 Te 0.2500 0.5147 0.2647  2 Ga 2.65, 2 Ag 2.77
6 Se 0.9668 0.7500 0.7168  2 Ga 2.48, 2 Ag 2.72
7 Te 0.7500 0.9853 0.2353  2 Ga 2.65, 2 Ag 2.77
8 Ag 0.3643 0.1143 0.2500  2 Se 2.72, 2 Te 2.77

Summary:
E_tot: -3.483 eV per atom
ρ: 5.594 g cm⁻³

---

This record from OQMD describes an optimized crystal structure of ZnWAu. The functional is PBE-GGA.

abc: 4.3395 4.3395 4.3395
angles: 60.00 60.00 60.00
Closest atoms and distances in Å follow each position.
Fractional positions:
1 Zn 0.7500 0.7500 0.7500  4 W 2.66
2 W 0.0000 0.0000 0.0000  4 Zn 2.66, 4 Au 2.66
3 Au 0.2500 0.2500 0.2500  4 W 2.66

Summary:
energy of formation from the pure elements: 0.98 eV per atom
E_tot: -4.852 eV per atom
ρ: 12.823 g cm⁻³

---

This record from OQMD describes an optimized crystal structure of KPrO3. The functional is PBE-GGA.

abc: 5.8973 5.8973 5.8973
angles: 68.29 68.29 68.29
Closest atoms and distances in Å follow each position.
Fractional positions:
1 O 0.7500 0.4088 0.0912  1 Pr 2.26, 2 K 2.45
2 O 0.2500 0.5912 0.9088  1 Pr 2.26, 2 K 2.45
3 K 0.0000 0.0000 0.0000  6 O 2.45
4 O 0.0912 0.7500 0.4088  1 Pr 2.26, 2 K 2.45
5 K 0.5000 0.5000 0.5000  6 O 2.45
6 O 0.5912 0.9088 0.2500  1 Pr 2.26, 2 K 2.45
7 Pr 0.7500 0.7500 0.7500  3 O 2.26
8 Pr 0.2500 0.2500 0.2500  3 O 2.26
9 O 0.4088 0.0912 0.7500  1 Pr 2.26, 2 K 2.45
10 O 0.9088 0.2500 0.5912  1 Pr 2.26, 2 K 2.45

Summary:
E_tot: -5.511 eV per atom
ρ: 4.443 g cm⁻³